Entry from Alexandria: crystalline Tb3Zn3Cu8 at its relaxed geometry (GGA-PBE).

a b c (Å): 7.8938 7.8938 7.8938
angles (deg): 148.94 111.99 76.64
Closest atoms and distances in Å follow each position.
Positions (direct):
1 Tb 0.0000 0.0000 0.0000  12 Cu 2.95-3.24
2 Tb 0.2983 0.2983 0.0000  12 Cu 2.92-3.25, 4 Zn 3.10-3.27
3 Tb 0.7017 0.7017 0.0000  12 Cu 2.92-3.25, 4 Zn 3.10-3.27
4 Zn 0.2919 0.5000 0.7919  6 Cu 2.49-2.65
5 Zn 0.5000 0.0000 0.5000  4 Cu 2.50, 4 Zn 2.80
6 Zn 0.7081 0.5000 0.2081  6 Cu 2.49-2.65
7 Cu 0.0287 0.6701 0.3585  1 Zn 2.49, 4 Cu 2.50-2.58
8 Cu 0.1528 0.8713 0.2816  3 Cu 2.50-2.58, 3 Zn 2.50-2.65
9 Cu 0.3116 0.6701 0.6415  1 Zn 2.49, 4 Cu 2.50-2.58
10 Cu 0.4103 0.1287 0.2816  3 Cu 2.50-2.58, 3 Zn 2.50-2.65
11 Cu 0.5897 0.8713 0.7184  3 Cu 2.50-2.58, 3 Zn 2.50-2.65
12 Cu 0.6884 0.3299 0.3585  1 Zn 2.49, 4 Cu 2.50-2.58
13 Cu 0.8472 0.1287 0.7184  3 Cu 2.50-2.58, 3 Zn 2.50-2.65
14 Cu 0.9713 0.3299 0.6415  1 Zn 2.49, 4 Cu 2.50-2.58

Values from the calculation:
As for the total energy: -3.8452 eV per atom. Its formation energy is -0.2394 eV per atom.



Entry from Alexandria: crystalline Tb5ZnCu4 at its relaxed geometry (GGA-PBE).

a b c (Å): 3.4997 3.4997 17.5618
angles (deg): 90.00 90.00 90.00
Closest atoms and distances in Å follow each position.
Positions (direct):
1 Tb 0.0000 0.0000 0.0000  8 Cu 3.02
2 Tb 0.0000 0.0000 0.1982  8 Cu 3.03-3.04
3 Tb 0.0000 0.0000 0.3961  4 Cu 3.01, 4 Zn 3.08
4 Tb 0.0000 0.0000 0.6039  4 Cu 3.01, 4 Zn 3.08
5 Tb 0.0000 0.0000 0.8018  8 Cu 3.03-3.04
6 Zn 0.5000 0.5000 0.5000  8 Tb 3.08
7 Cu 0.5000 0.5000 0.0985  8 Tb 3.02-3.03
8 Cu 0.5000 0.5000 0.2982  8 Tb 3.01-3.04
9 Cu 0.5000 0.5000 0.7018  8 Tb 3.01-3.04
10 Cu 0.5000 0.5000 0.9015  8 Tb 3.02-3.03

Values from the calculation:
As for the total energy: -4.3423 eV per atom. Its formation energy is -0.2613 eV per atom.



Entry from Alexandria: crystalline Tb4ZnCu2 at its relaxed geometry (GGA-PBE).

a b c (Å): 8.4655 8.4655 8.4655
angles (deg): 33.98 33.98 33.98
Closest atoms and distances in Å follow each position.
Positions (direct):
1 Tb 0.1209 0.1209 0.1209  4 Cu 2.97-3.02, 3 Zn 3.06
2 Tb 0.3723 0.3723 0.3723  4 Cu 2.99-3.07, 1 Zn 3.05
3 Tb 0.6277 0.6277 0.6277  4 Cu 2.99-3.07, 1 Zn 3.05
4 Tb 0.8791 0.8791 0.8791  4 Cu 2.97-3.02, 3 Zn 3.06
5 Zn 0.5000 0.5000 0.5000  8 Tb 3.05-3.06
6 Cu 0.2470 0.2470 0.2470  8 Tb 2.97-3.07
7 Cu 0.7530 0.7530 0.7530  8 Tb 2.97-3.07

Values from the calculation:
As for the total energy: -4.1383 eV per atom. Its formation energy is -0.1401 eV per atom.



Entry from Alexandria: crystalline TbZn4Cu4 at its relaxed geometry (GGA-PBE).

a b c (Å): 6.1102 6.1102 6.1102
angles (deg): 97.26 97.26 138.36
Closest atoms and distances in Å follow each position.
Positions (direct):
1 Tb 0.0000 0.0000 0.0000  8 Cu 3.00, 4 Zn 3.09
2 Zn 0.0874 0.6280 0.7153  4 Cu 2.42-2.58, 1 Zn 2.50
3 Zn 0.3720 0.0874 0.4594  4 Cu 2.42-2.58, 1 Zn 2.50
4 Zn 0.6280 0.9126 0.5406  4 Cu 2.42-2.58, 1 Zn 2.50
5 Zn 0.9126 0.3720 0.2847  4 Cu 2.42-2.58, 1 Zn 2.50
6 Cu 0.2780 0.3716 0.6496  4 Zn 2.42-2.58
7 Cu 0.3716 0.7220 0.0936  4 Zn 2.42-2.58
8 Cu 0.6284 0.2780 0.9064  4 Zn 2.42-2.58
9 Cu 0.7220 0.6284 0.3504  4 Zn 2.42-2.58

Values from the calculation:
As for the total energy: -2.9473 eV per atom. Its formation energy is -0.0461 eV per atom.



Entry from Alexandria: crystalline Tb3ZnCu4 at its relaxed geometry (GGA-PBE).

a b c (Å): 7.7195 7.7195 7.7195
angles (deg): 150.58 130.54 58.59
Closest atoms and distances in Å follow each position.
Positions (direct):
1 Tb 0.0000 0.0000 0.0000  8 Cu 2.85
2 Tb 0.3126 0.8126 0.5000  6 Cu 2.86-2.91, 2 Zn 3.20
3 Tb 0.6874 0.1874 0.5000  6 Cu 2.86-2.91, 2 Zn 3.20
4 Zn 0.5000 0.5000 0.0000  4 Cu 2.57
5 Cu 0.0729 0.3777 0.6952  1 Cu 2.52, 1 Zn 2.57
6 Cu 0.3175 0.6223 0.6952  1 Cu 2.52, 1 Zn 2.57
7 Cu 0.6825 0.3777 0.3048  1 Cu 2.52, 1 Zn 2.57
8 Cu 0.9271 0.6223 0.3048  1 Cu 2.52, 1 Zn 2.57

Values from the calculation:
As for the total energy: -4.0250 eV per atom. Its formation energy is -0.0813 eV per atom.



Entry from Alexandria: crystalline Tb2Zn5Cu3 at its relaxed geometry (GGA-PBE).

a b c (Å): 12.0541 12.0541 6.6721
angles (deg): 90.00 90.00 159.22
Closest atoms and distances in Å follow each position.
Positions (direct):
1 Tb 0.0175 0.9825 0.5000  5 Cu 2.83-3.07, 6 Zn 3.02-3.15
2 Tb 0.3251 0.6749 0.4513  4 Cu 2.94-3.12, 10 Zn 3.02-3.27
3 Tb 0.6749 0.3251 0.9513  4 Cu 2.94-3.12, 10 Zn 3.02-3.27
4 Tb 0.9825 0.0175 0.0000  5 Cu 2.83-3.07, 6 Zn 3.02-3.15
5 Zn 0.1060 0.8940 0.1723  3 Cu 2.51-2.61, 1 Zn 2.56
6 Zn 0.2024 0.7976 0.6239  4 Cu 2.50-2.63, 1 Zn 2.57
7 Zn 0.2121 0.7879 0.2409  3 Cu 2.49-2.54, 2 Zn 2.56-2.57
8 Zn 0.3741 0.6259 0.9930  2 Cu 2.53-2.58, 1 Zn 2.72
9 Zn 0.4478 0.5522 0.3053  4 Cu 2.53-2.66, 1 Zn 2.72
10 Zn 0.5522 0.4478 0.8053  4 Cu 2.53-2.66, 1 Zn 2.72
11 Zn 0.6259 0.3741 0.4930  2 Cu 2.53-2.58, 1 Zn 2.72
12 Zn 0.7879 0.2121 0.7409  3 Cu 2.49-2.54, 2 Zn 2.56-2.57
13 Zn 0.7976 0.2024 0.1239  4 Cu 2.50-2.63, 1 Zn 2.57
14 Zn 0.8940 0.1060 0.6723  3 Cu 2.51-2.61, 1 Zn 2.56
15 Cu 0.1067 0.8933 0.7815  4 Zn 2.50-2.61
16 Cu 0.2689 0.7311 0.9270  7 Zn 2.49-2.63
17 Cu 0.4465 0.5535 0.7037  5 Zn 2.51-2.66
18 Cu 0.5535 0.4465 0.2037  5 Zn 2.51-2.66
19 Cu 0.7311 0.2689 0.4270  7 Zn 2.49-2.63
20 Cu 0.8933 0.1067 0.2815  4 Zn 2.50-2.61

Values from the calculation:
As for the total energy: -3.0419 eV per atom. Its formation energy is -0.2500 eV per atom. As for the excess energy over the best structure of this formula in the dataset: 5 meV/atom.



Entry from Alexandria: crystalline TbZnCu5 at its relaxed geometry (GGA-PBE).

a b c (Å): 8.0816 5.0302 10.1876
angles (deg): 90.00 90.00 90.00
Closest atoms and distances in Å follow each position.
Positions (direct):
1 Tb 0.2423 0.2500 0.0625  11 Cu 2.88-3.19, 2 Zn 3.16-3.21
2 Tb 0.2577 0.7500 0.5625  11 Cu 2.88-3.19, 2 Zn 3.16-3.21
3 Tb 0.7423 0.2500 0.4375  11 Cu 2.88-3.19, 2 Zn 3.16-3.21
4 Tb 0.7577 0.7500 0.9375  11 Cu 2.88-3.19, 2 Zn 3.16-3.21
5 Zn 0.1422 0.7500 0.8586  8 Cu 2.50-2.76
6 Zn 0.3578 0.2500 0.3586  8 Cu 2.50-2.76
7 Zn 0.6422 0.7500 0.6414  8 Cu 2.50-2.76
8 Zn 0.8578 0.2500 0.1414  8 Cu 2.50-2.76
9 Cu 0.0614 0.7500 0.0957  1 Zn 2.50, 4 Cu 2.51-2.61
10 Cu 0.0663 0.0058 0.3089  7 Cu 2.46-2.57, 2 Zn 2.69-2.70
11 Cu 0.0663 0.4942 0.3089  7 Cu 2.46-2.57, 2 Zn 2.69-2.70
12 Cu 0.0943 0.2500 0.5164  5 Cu 2.46-2.55, 1 Zn 2.67
13 Cu 0.1832 0.2500 0.7525  7 Cu 2.47-2.61, 2 Zn 2.76
14 Cu 0.3168 0.7500 0.2525  7 Cu 2.47-2.61, 2 Zn 2.76
15 Cu 0.4057 0.7500 0.0164  5 Cu 2.46-2.55, 1 Zn 2.67
16 Cu 0.4337 0.5058 0.8089  7 Cu 2.46-2.57, 2 Zn 2.69-2.70
17 Cu 0.4337 0.9942 0.8089  7 Cu 2.46-2.57, 2 Zn 2.69-2.70
18 Cu 0.4386 0.2500 0.5957  1 Zn 2.50, 4 Cu 2.51-2.61
19 Cu 0.5614 0.7500 0.4043  1 Zn 2.50, 4 Cu 2.51-2.61
20 Cu 0.5663 0.0058 0.1911  7 Cu 2.46-2.57, 2 Zn 2.69-2.70
21 Cu 0.5663 0.4942 0.1911  7 Cu 2.46-2.57, 2 Zn 2.69-2.70
22 Cu 0.5943 0.2500 0.9836  5 Cu 2.46-2.55, 1 Zn 2.67
23 Cu 0.6832 0.2500 0.7475  7 Cu 2.47-2.61, 2 Zn 2.76
24 Cu 0.8168 0.7500 0.2475  7 Cu 2.47-2.61, 2 Zn 2.76
25 Cu 0.9057 0.7500 0.4836  5 Cu 2.46-2.55, 1 Zn 2.67
26 Cu 0.9337 0.5058 0.6911  7 Cu 2.46-2.57, 2 Zn 2.69-2.70
27 Cu 0.9337 0.9942 0.6911  7 Cu 2.46-2.57, 2 Zn 2.69-2.70
28 Cu 0.9386 0.2500 0.9043  1 Zn 2.50, 4 Cu 2.51-2.61

Values from the calculation:
As for the total energy: -3.9723 eV per atom. Its formation energy is -0.2030 eV per atom.



Entry from Alexandria: crystalline Tb2Zn6Cu3 at its relaxed geometry (GGA-PBE).

a b c (Å): 7.3354 7.3354 4.1311
angles (deg): 90.00 90.00 120.00
Closest atoms and distances in Å follow each position.
Positions (direct):
1 Tb 0.3333 0.6667 0.0000  9 Zn 3.04-3.40, 6 Cu 3.06
2 Tb 0.6667 0.3333 0.0000  9 Zn 3.04-3.40, 6 Cu 3.06
3 Zn 0.0000 0.2724 0.5000  3 Cu 2.45-2.56, 4 Zn 2.74
4 Zn 0.0000 0.7983 0.0000  2 Cu 2.50, 6 Zn 2.56-2.74
5 Zn 0.2017 0.2017 0.0000  2 Cu 2.50, 6 Zn 2.56-2.74
6 Zn 0.2724 0.0000 0.5000  3 Cu 2.45-2.56, 4 Zn 2.74
7 Zn 0.7276 0.7276 0.5000  3 Cu 2.45-2.56, 4 Zn 2.74
8 Zn 0.7983 0.0000 0.0000  2 Cu 2.50, 6 Zn 2.56-2.74
9 Cu 0.0000 0.6064 0.5000  5 Zn 2.45-2.56
10 Cu 0.3936 0.3936 0.5000  5 Zn 2.45-2.56
11 Cu 0.6064 0.0000 0.5000  5 Zn 2.45-2.56

Values from the calculation:
As for the total energy: -2.8654 eV per atom. Its formation energy is -0.2115 eV per atom.



Entry from Alexandria: crystalline Tb3Zn9Cu2 at its relaxed geometry (GGA-PBE).

a b c (Å): 8.0901 8.0901 8.0901
angles (deg): 148.83 113.55 75.22
Closest atoms and distances in Å follow each position.
Positions (direct):
1 Tb 0.0000 0.0000 0.0000  12 Zn 3.03-3.23
2 Tb 0.2988 0.2988 0.0000  14 Zn 3.03-3.37, 2 Cu 3.04
3 Tb 0.7012 0.7012 0.0000  14 Zn 3.03-3.37, 2 Cu 3.04
4 Zn 0.0169 0.6586 0.3583  4 Zn 2.51-2.76, 1 Cu 2.56
5 Zn 0.1507 0.8676 0.2831  4 Zn 2.53-2.76, 2 Cu 2.77
6 Zn 0.3002 0.6586 0.6417  4 Zn 2.51-2.76, 1 Cu 2.56
7 Zn 0.4155 0.1324 0.2831  4 Zn 2.53-2.76, 2 Cu 2.77
8 Zn 0.5000 0.0000 0.5000  4 Zn 2.56, 4 Cu 2.71
9 Zn 0.5845 0.8676 0.7169  4 Zn 2.53-2.76, 2 Cu 2.77
10 Zn 0.6998 0.3414 0.3583  4 Zn 2.51-2.76, 1 Cu 2.56
11 Zn 0.8493 0.1324 0.7169  4 Zn 2.53-2.76, 2 Cu 2.77
12 Zn 0.9831 0.3414 0.6417  4 Zn 2.51-2.76, 1 Cu 2.56
13 Cu 0.3175 0.5000 0.8175  8 Zn 2.56-2.77
14 Cu 0.6825 0.5000 0.1825  8 Zn 2.56-2.77

Values from the calculation:
As for the total energy: -2.7035 eV per atom. Its formation energy is -0.3071 eV per atom.



Entry from Alexandria: crystalline Tb2Zn5Cu5 at its relaxed geometry (GGA-PBE).

a b c (Å): 4.0592 5.2124 9.1529
angles (deg): 90.00 90.00 90.00
Closest atoms and distances in Å follow each position.
Positions (direct):
1 Tb 0.0000 0.0000 0.0000  6 Zn 2.98-3.02, 12 Cu 3.30-3.32
2 Tb 0.0000 0.5000 0.5000  10 Zn 3.05-3.30, 8 Cu 3.33
3 Zn 0.0000 0.0000 0.3260  4 Cu 2.52, 2 Zn 2.58
4 Zn 0.0000 0.0000 0.6740  4 Cu 2.52, 2 Zn 2.58
5 Zn 0.0000 0.5000 0.1667  6 Cu 2.52-2.54
6 Zn 0.0000 0.5000 0.8333  6 Cu 2.52-2.54
7 Zn 0.5000 0.0000 0.5000  4 Zn 2.58, 4 Cu 2.65
8 Cu 0.5000 0.2520 0.2490  5 Zn 2.52-2.65, 3 Cu 2.59-2.63
9 Cu 0.5000 0.2520 0.7510  5 Zn 2.52-2.65, 3 Cu 2.59-2.63
10 Cu 0.5000 0.5000 0.0000  4 Zn 2.54, 4 Cu 2.62
11 Cu 0.5000 0.7480 0.2490  5 Zn 2.52-2.65, 3 Cu 2.59-2.63
12 Cu 0.5000 0.7480 0.7510  5 Zn 2.52-2.65, 3 Cu 2.59-2.63

Values from the calculation:
As for the total energy: -3.2624 eV per atom. Its formation energy is -0.2531 eV per atom. As for the excess energy over the best structure of this formula in the dataset: 40 meV/atom.



Entry from Alexandria: crystalline Tb2ZnCu2 at its relaxed geometry (GGA-PBE).

a b c (Å): 5.6352 5.6352 10.2326
angles (deg): 115.98 115.98 45.30
Closest atoms and distances in Å follow each position.
Positions (direct):
1 Tb 0.0163 0.0163 0.3371  7 Cu 2.98-3.25, 4 Zn 3.04-3.08
2 Tb 0.1957 0.1957 0.1121  6 Cu 2.92-3.10, 2 Zn 3.17
3 Tb 0.8043 0.8043 0.8879  6 Cu 2.92-3.10, 2 Zn 3.17
4 Tb 0.9837 0.9837 0.6629  7 Cu 2.98-3.25, 4 Zn 3.04-3.08
5 Zn 0.2730 0.2730 0.6489  4 Cu 2.51-2.75
6 Zn 0.7270 0.7270 0.3511  4 Cu 2.51-2.75
7 Cu 0.3632 0.3632 0.4362  1 Cu 2.50, 3 Zn 2.51-2.75
8 Cu 0.4834 0.4834 0.1128  1 Cu 2.49, 1 Zn 2.55
9 Cu 0.5166 0.5166 0.8872  1 Cu 2.49, 1 Zn 2.55
10 Cu 0.6368 0.6368 0.5638  1 Cu 2.50, 3 Zn 2.51-2.75

Values from the calculation:
As for the total energy: -4.0123 eV per atom. Its formation energy is -0.2670 eV per atom.



Entry from Alexandria: crystalline TbZn9Cu2 at its relaxed geometry (GGA-PBE).

a b c (Å): 8.5050 8.5050 3.0172
angles (deg): 90.00 90.00 120.00
Closest atoms and distances in Å follow each position.
Positions (direct):
1 Tb 0.0000 0.0000 0.0000  2 Tb 3.02, 12 Zn 3.14
2 Zn 0.0000 0.5000 0.0000  2 Cu 2.46
3 Zn 0.1870 0.3740 0.5000  2 Cu 2.63, 6 Zn 2.75-2.77
4 Zn 0.1870 0.8130 0.5000  2 Cu 2.63, 6 Zn 2.75-2.77
5 Zn 0.3740 0.1870 0.5000  2 Cu 2.63, 6 Zn 2.75-2.77
6 Zn 0.5000 0.0000 0.0000  2 Cu 2.46
7 Zn 0.5000 0.5000 0.0000  2 Cu 2.46
8 Zn 0.6260 0.8130 0.5000  2 Cu 2.63, 6 Zn 2.75-2.77
9 Zn 0.8130 0.1870 0.5000  2 Cu 2.63, 6 Zn 2.75-2.77
10 Zn 0.8130 0.6260 0.5000  2 Cu 2.63, 6 Zn 2.75-2.77
11 Cu 0.3333 0.6667 0.0000  9 Zn 2.46-2.63
12 Cu 0.6667 0.3333 0.0000  9 Zn 2.46-2.63

Values from the calculation:
As for the total energy: -2.1449 eV per atom. Its formation energy is -0.1209 eV per atom. As for the excess energy over the best structure of this formula in the dataset: 111 meV/atom.